[1]
## Co3Pt7 (GGA-PBE)

Data for an optimized crystal structure of Co3Pt7.

Computed properties:
M_tot	8.40	μB/f.u.
N(E_F)	1.28	states/eV per atom

```
Co3Pt7
1.0
6.984 -1.928 0.000
6.984 1.928 0.000
-1.080 0.000 5.374
Co Pt
3 7
direct
0.000 0.000 0.000
0.205 0.205 0.595
0.795 0.795 0.405
0.000 0.000 0.500
0.201 0.201 0.108
0.396 0.396 0.694
0.401 0.401 0.197
0.599 0.599 0.803
0.604 0.604 0.306
0.799 0.799 0.892
```

[2]
## Co3Pt4 (GGA-PBE)

Data for an optimized crystal structure of Co3Pt4.

Computed properties:
M_tot	7.25	μB/f.u.
N(E_F)	1.03	states/eV per atom

```
Co3Pt4
1.0
6.250 -1.347 0.000
6.250 1.347 0.000
-2.894 0.000 5.900
Co Pt
3 4
direct
0.000 0.000 0.000
0.224 0.224 0.141
0.776 0.776 0.859
0.083 0.083 0.719
0.361 0.361 0.618
0.639 0.639 0.382
0.917 0.917 0.281
```

[3]
## Co5Pt (GGA-PBE)

Data for an optimized crystal structure of Co5Pt.

Computed properties:
M_tot	9.22	μB/f.u.
N(E_F)	1.43	states/eV per atom

```
Co5Pt
1.0
0.000 3.308 3.308
3.308 0.000 3.308
3.308 3.308 0.000
Co Pt
5 1
direct
0.000 0.000 0.000
0.375 0.375 0.375
0.375 0.375 0.876
0.375 0.876 0.375
0.876 0.375 0.375
0.750 0.750 0.750
```

[4]
## CoPt4 (GGA-PBE)

Data for an optimized crystal structure of CoPt4.

Computed properties:
M_tot	2.88	μB/f.u.
N(E_F)	2.54	states/eV per atom

```
CoPt4
1.0
-1.814 1.814 6.559
1.814 -1.814 6.559
1.814 1.814 -6.559
Co Pt
1 4
direct
0.000 0.000 0.000
0.250 0.750 0.500
0.405 0.405 0.000
0.595 0.595 0.000
0.750 0.250 0.500
```

[5]
## CoPt4 (GGA-PBE)

Data for an optimized crystal structure of CoPt4.

Computed properties:
M_tot	1.11	μB/f.u.
N(E_F)	1.39	states/eV per atom

```
CoPt4
1.0
-2.785 2.785 2.785
2.785 -2.785 2.785
2.785 2.785 -2.785
Co Pt
1 4
direct
0.000 0.000 0.000
0.000 0.000 0.500
0.000 0.500 0.000
0.500 0.000 0.000
0.500 0.500 0.500
```

[6]
## Co6Pt7 (GGA-PBE)

Data for an optimized crystal structure of Co6Pt7.

Computed properties:
M_tot	14.20	μB/f.u.
N(E_F)	1.64	states/eV per atom

```
Co6Pt7
1.0
2.606 1.504 8.449
-2.606 1.504 8.449
0.000 -3.009 8.449
Co Pt
6 7
direct
0.048 0.048 0.048
0.149 0.149 0.149
0.334 0.334 0.334
0.666 0.666 0.666
0.851 0.851 0.851
0.952 0.952 0.952
0.079 0.584 0.584
0.416 0.416 0.921
0.416 0.921 0.416
0.500 0.500 0.500
0.584 0.079 0.584
0.584 0.584 0.079
0.921 0.416 0.416
```

Number 1: VASP energy -6.44 eV per atom, E_form -0.082 eV per atom, volume 144.7 Å³/cell. Number 2: VASP energy -6.49 eV per atom, E_form 0.005 eV per atom, volume 99.3 Å³/cell. Number 3: VASP energy -6.84 eV per atom, E_form 0.084 eV per atom, volume 72.4 Å³/cell. Number 4: VASP energy -5.78 eV per atom, E_form 0.478 eV per atom, volume 86.3 Å³/cell. Number 5: VASP energy -5.83 eV per atom, E_form 0.419 eV per atom, volume 86.4 Å³/cell. Number 6: VASP energy -6.23 eV per atom, E_form 0.299 eV per atom, volume 198.7 Å³/cell.